TbIn9Rh2 | PBE | relaxed

The calculation puts the raw total energy at -3.79 eV per atom. The spin magnetization comes out at 0.00 μB/f.u.

a = 9.4733 Å, b = 9.4733 Å, c = 9.4733 Å
α = 98.34°, β = 98.34°, γ = 135.21°
Last column: nearest neighbours and their distance in Å.
Atoms (fractional coordinates):
Tb 0.3750 0.6250 0.7500  10 In 3.44-3.61
Tb 0.6250 0.3750 0.2500  10 In 3.44-3.61
In 0.1015 0.5494 0.3120  2 Rh 2.83-2.93, 6 In 2.97-3.16
In 0.1015 0.7895 0.5521  2 Rh 2.83-2.93, 6 In 2.97-3.16
In 0.1250 0.8750 0.2500  8 In 3.08, 4 Rh 3.23
In 0.2105 0.2625 0.3120  2 Rh 2.83-2.93, 6 In 2.97-3.16
In 0.2105 0.8985 0.9479  2 Rh 2.83-2.93, 6 In 2.97-3.16
In 0.2625 0.2105 0.8120  2 Rh 2.83-2.93, 6 In 2.97-3.16
In 0.2625 0.4506 0.0521  2 Rh 2.83-2.93, 6 In 2.97-3.16
In 0.4506 0.2625 0.5521  2 Rh 2.83-2.93, 6 In 2.97-3.16
In 0.4506 0.8985 0.1880  2 Rh 2.83-2.93, 6 In 2.97-3.16
In 0.5494 0.1015 0.8120  2 Rh 2.83-2.93, 6 In 2.97-3.16
In 0.5494 0.7375 0.4479  2 Rh 2.83-2.93, 6 In 2.97-3.16
In 0.7375 0.5494 0.9479  2 Rh 2.83-2.93, 6 In 2.97-3.16
In 0.7375 0.7895 0.1880  2 Rh 2.83-2.93, 6 In 2.97-3.16
In 0.7895 0.1015 0.0521  2 Rh 2.83-2.93, 6 In 2.97-3.16
In 0.7895 0.7375 0.6880  2 Rh 2.83-2.93, 6 In 2.97-3.16
In 0.8750 0.1250 0.7500  8 In 3.08, 4 Rh 3.23
In 0.8985 0.2105 0.4479  2 Rh 2.83-2.93, 6 In 2.97-3.16
In 0.8985 0.4506 0.6880  2 Rh 2.83-2.93, 6 In 2.97-3.16
Rh 0.0000 0.0000 0.0000  8 In 2.83-2.93
Rh 0.0000 0.0000 0.5000  8 In 2.83-2.93
Rh 0.0000 0.5000 0.0000  8 In 2.83-2.93
Rh 0.5000 0.0000 0.5000  8 In 2.83-2.93

---

Tb7In2Rh2 | PBE | relaxed

The calculation puts the raw total energy at -5.20 eV per atom. The spin magnetization comes out at 0.00 μB/f.u.

a = 6.8469 Å, b = 6.8469 Å, c = 7.1122 Å
α = 90.00°, β = 90.00°, γ = 107.34°
Last column: nearest neighbours and their distance in Å.
Atoms (fractional coordinates):
Tb 0.0000 0.0000 0.0000  2 Rh 3.19
Tb 0.0000 0.5000 0.2504  2 Rh 2.73
Tb 0.0000 0.5000 0.7496  2 Rh 2.73
Tb 0.5000 0.0000 0.2504  2 Rh 2.73
Tb 0.5000 0.0000 0.7496  2 Rh 2.73
Tb 0.5000 0.5000 0.2433  2 Rh 2.90, 2 In 3.20
Tb 0.5000 0.5000 0.7567  2 Rh 2.90, 2 In 3.20
In 0.1758 0.1758 0.5000  1 In 2.85
In 0.8242 0.8242 0.5000  1 In 2.85
Rh 0.2892 0.7108 0.0000  6 Tb 2.73-2.90
Rh 0.7108 0.2892 0.0000  6 Tb 2.73-2.90

---

TbIn2Rh | PBE | relaxed

The calculation puts the raw total energy at -4.78 eV per atom. The spin magnetization comes out at 0.00 μB/f.u.

a = 4.2452 Å, b = 4.2452 Å, c = 4.8195 Å
α = 90.00°, β = 90.00°, γ = 90.00°
Last column: nearest neighbours and their distance in Å.
Atoms (fractional coordinates):
Tb 0.0000 0.0000 0.0000  4 Rh 3.00, 8 In 3.21
In 0.0000 0.5000 0.5000  4 In 3.00, 4 Tb 3.21, 4 Rh 3.21
In 0.5000 0.0000 0.5000  4 In 3.00, 4 Tb 3.21, 4 Rh 3.21
Rh 0.5000 0.5000 0.0000  4 Tb 3.00, 8 In 3.21

---

TbIn4Rh | PBE | relaxed

The calculation puts the raw total energy at -4.25 eV per atom. The spin magnetization comes out at 0.00 μB/f.u.

a = 4.5122 Å, b = 7.3330 Å, c = 8.6678 Å
α = 90.00°, β = 105.03°, γ = 90.00°
Last column: nearest neighbours and their distance in Å.
Atoms (fractional coordinates):
Tb 0.1280 0.2500 0.2571  11 In 3.24-3.62, 2 Rh 3.33-3.35
Tb 0.8720 0.7500 0.7429  11 In 3.24-3.62, 2 Rh 3.33-3.35
In 0.0651 0.7500 0.1298  1 Rh 2.67
In 0.3177 0.0463 0.6341  3 Rh 2.67-2.79, 1 In 2.99
In 0.3177 0.4537 0.6341  3 Rh 2.67-2.79, 1 In 2.99
In 0.5000 0.0000 0.0000  6 In 3.08-3.10
In 0.5000 0.5000 0.0000  6 In 3.08-3.10
In 0.6823 0.5463 0.3659  3 Rh 2.67-2.79, 1 In 2.99
In 0.6823 0.9537 0.3659  3 Rh 2.67-2.79, 1 In 2.99
In 0.9349 0.2500 0.8702  1 Rh 2.67
Rh 0.2234 0.7500 0.4485  7 In 2.67-2.79
Rh 0.7766 0.2500 0.5515  7 In 2.67-2.79

---

Number 1: ΔE_f -0.13 eV per atom. Number 2: ΔE_f -0.42 eV per atom. Number 3: ΔE_f -0.41 eV per atom. Number 4: ΔE_f -0.43 eV per atom.